Record 1
First-principles (PBE-GGA) data for a relaxed structure of Co2ICl, as listed in Alexandria via LeMat-Bulk.

Lattice parameters (Å, degrees): 5.5006 5.5006 11.3940 90.00 90.00 90.00
Atoms (fractional coordinates):
Co (0.2012, 0.2500, 0.1250)
Co (0.2500, 0.7012, 0.3750)
Co (0.2500, 0.7988, 0.8750)
Co (0.2988, 0.2500, 0.6250)
Co (0.7012, 0.7500, 0.6250)
Co (0.7500, 0.2012, 0.8750)
Co (0.7500, 0.2988, 0.3750)
Co (0.7988, 0.7500, 0.1250)
I (0.0000, 0.0000, 0.5000)
I (0.0000, 0.5000, 0.7500)
I (0.5000, 0.0000, 0.2500)
I (0.5000, 0.5000, 0.0000)
Cl (0.0000, 0.0000, 0.0000)
Cl (0.0000, 0.5000, 0.2500)
Cl (0.5000, 0.0000, 0.7500)
Cl (0.5000, 0.5000, 0.5000)

Its space group is I-42d (122). The calculation puts the offset from the most stable computed form at 0 meV/atom. As for the crystal system: tetragonal. The uncorrected formation energy comes out at 247 meV/atom.

---

Record 2
First-principles (PBE-GGA) data for a relaxed structure of BiTePd4, as listed in Alexandria via LeMat-Bulk.

Lattice parameters (Å, degrees): 6.6960 3.8701 17.8210 90.00 90.00 90.00
Atoms (fractional coordinates):
Bi (0.2036, 0.2500, 0.2053)
Bi (0.2964, 0.7500, 0.7053)
Bi (0.7036, 0.2500, 0.2947)
Bi (0.7964, 0.7500, 0.7947)
Te (0.2020, 0.7500, 0.4596)
Te (0.2980, 0.2500, 0.9596)
Te (0.7020, 0.7500, 0.0404)
Te (0.7980, 0.2500, 0.5404)
Pd (0.0207, 0.7500, 0.9385)
Pd (0.0844, 0.2500, 0.3561)
Pd (0.1046, 0.2500, 0.8197)
Pd (0.2031, 0.2500, 0.5834)
Pd (0.2969, 0.7500, 0.0834)
Pd (0.3954, 0.7500, 0.3197)
Pd (0.4156, 0.7500, 0.8561)
Pd (0.4793, 0.2500, 0.4385)
Pd (0.5207, 0.7500, 0.5615)
Pd (0.5844, 0.2500, 0.1439)
Pd (0.6046, 0.2500, 0.6803)
Pd (0.7031, 0.2500, 0.9166)
Pd (0.7969, 0.7500, 0.4166)
Pd (0.8954, 0.7500, 0.1803)
Pd (0.9156, 0.7500, 0.6439)
Pd (0.9793, 0.2500, 0.0615)

Its space group is Pnma (62). The calculation puts the offset from the most stable computed form at 0 meV/atom. As for the crystal system: orthorhombic. The uncorrected formation energy comes out at -233 meV/atom.

---

Record 3
First-principles (PBE-GGA) data for a relaxed structure of PbCI2, as listed in Alexandria via LeMat-Bulk.

Lattice parameters (Å, degrees): 6.7771 6.7771 11.7831 90.00 90.00 90.00
Atoms (fractional coordinates):
Pb (0.0000, 0.0000, 0.0000)
Pb (0.0000, 0.5000, 0.2500)
Pb (0.5000, 0.0000, 0.7500)
Pb (0.5000, 0.5000, 0.5000)
C (0.0000, 0.0000, 0.5000)
C (0.0000, 0.5000, 0.7500)
C (0.5000, 0.0000, 0.2500)
C (0.5000, 0.5000, 0.0000)
I (0.0939, 0.2500, 0.6250)
I (0.2500, 0.5939, 0.8750)
I (0.2500, 0.9061, 0.3750)
I (0.4061, 0.2500, 0.1250)
I (0.5939, 0.7500, 0.1250)
I (0.7500, 0.0939, 0.3750)
I (0.7500, 0.4061, 0.8750)
I (0.9061, 0.7500, 0.6250)

Its space group is I-42d (122). The calculation puts the offset from the most stable computed form at 0 meV/atom. As for the crystal system: tetragonal. The uncorrected formation energy comes out at 1283 meV/atom.

---

Record 4
First-principles (PBE-GGA) data for a relaxed structure of CeTm4Mg5, as listed in Alexandria via LeMat-Bulk.

Lattice parameters (Å, degrees): 3.7469 3.7469 19.0167 90.00 90.00 90.00
Atoms (fractional coordinates):
Ce (0.0000, 0.0000, 0.0000)
Tm (0.0000, 0.0000, 0.2044)
Tm (0.0000, 0.0000, 0.4016)
Tm (0.0000, 0.0000, 0.5984)
Tm (0.0000, 0.0000, 0.7956)
Mg (0.5000, 0.5000, 0.1067)
Mg (0.5000, 0.5000, 0.3028)
Mg (0.5000, 0.5000, 0.5000)
Mg (0.5000, 0.5000, 0.6972)
Mg (0.5000, 0.5000, 0.8933)

Its space group is P4/mmm (123). As for the crystal system: tetragonal. The value obtained for the energy of formation is -0.03 eV/atom.

---

Number 1: size of the total moment 1.000 μB per atom. Number 2: size of the total moment 0.000 μB per atom. Number 3: size of the total moment 0.000 μB per atom. Number 4: size of the total moment 0.080 μB per atom.